Compound: TiCuMoW
Source: Alexandria
Functional: GGA-PBE
Structure: relaxed

Unit cell a=4.4137 b=4.4137 c=4.4137 alpha=60.00 beta=60.00 gamma=60.00
Fractional coordinates of all 4 atoms:
Mo: 0.2500 0.2500 0.2500
Cu: 0.7500 0.7500 0.7500
W: 0.0000 0.0000 0.0000
Ti: 0.5000 0.5000 0.5000

Properties
Its calculated total energy is -35.4 eV for the cell shown. Its space-group type is F-43m (216).